[1]
## Rb3SmEr2Te6 (PBE)

Data for Rb3SmEr2Te6 after structural relaxation.

Summary:
Crystal system: monoclinic
Formation energy (no corrections): -1.38 eV per atom
Total magnetization: 0.000 μB/cell
Symmetry: C2/m
Uncorrected energy: -0.160 hartree per atom
Calculated volume: 38.05 Å³ per atom

abc: 7.8505 7.8505 8.9452
angles: 98.41 98.41 120.00
Last column: nearest neighbours and their distance in Å.
Sites, in units of the cell vectors:
Rb 0.8350 0.1650 0.5000  6 Te 3.65-3.69
Rb 0.5000 0.5000 0.5000  6 Te 3.63-3.69
Sm 0.0000 0.0000 0.0000  6 Te 3.17
Te 0.9334 0.5936 0.8004  2 Er 3.10, 1 Sm 3.17
Rb 0.1650 0.8350 0.5000  6 Te 3.65-3.69
Te 0.2736 0.2736 0.8009  2 Er 3.10, 1 Sm 3.17
Er 0.6669 0.3331 0.0000  6 Te 3.10
Te 0.7264 0.7264 0.1991  2 Er 3.10, 1 Sm 3.17
Te 0.0666 0.4064 0.1996  2 Er 3.10, 1 Sm 3.17
Te 0.5936 0.9334 0.8004  2 Er 3.10, 1 Sm 3.17
Er 0.3331 0.6669 0.0000  6 Te 3.10
Te 0.4064 0.0666 0.1996  2 Er 3.10, 1 Sm 3.17

---

[2]
## Rb3Sm3ErTe8 (PBE)

Data for Rb3Sm3ErTe8 after structural relaxation.

Summary:
D(E_F): 7.873 states/eV/cell
Crystal system: trigonal
Formation energy (no corrections): -1.32 eV per atom
Total magnetization: 0.000 μB/cell
Symmetry: R-3m
Uncorrected energy: -0.163 hartree per atom
Calculated volume: 40.95 Å³ per atom

abc: 8.9447 8.9479 10.2571
angles: 115.88 90.00 119.99
Last column: nearest neighbours and their distance in Å.
Sites, in units of the cell vectors:
Rb 0.5000 0.5000 0.0000  6 Te 3.68-3.69
Te 0.2613 0.0307 0.3004  1 Er 3.10, 2 Sm 3.15
Te 0.2306 0.9692 0.6996  1 Er 3.10, 2 Sm 3.15
Sm 0.5000 0.0000 0.5000  6 Te 3.15
Te 0.2652 0.5304 0.2958  3 Sm 3.15
Te 0.7694 0.0308 0.3004  1 Er 3.10, 2 Sm 3.15
Rb 0.0000 0.5000 0.0000  6 Te 3.68-3.69
Rb 0.0000 0.0000 0.0000  6 Te 3.68-3.69
Sm 0.0000 0.5000 0.5000  6 Te 3.15
Er 0.0000 0.0000 0.5000  6 Te 3.10
Te 0.7695 0.5389 0.3004  1 Er 3.10, 2 Sm 3.15
Te 0.7348 0.4696 0.7042  3 Sm 3.15
Te 0.2305 0.4611 0.6996  1 Er 3.10, 2 Sm 3.15
Te 0.7387 0.9693 0.6996  1 Er 3.10, 2 Sm 3.15
Sm 0.5000 0.5000 0.5000  6 Te 3.15

---

[3]
## Rb3Sm2ErTe6 (PBE)

Data for Rb3Sm2ErTe6 after structural relaxation.

Summary:
Crystal system: monoclinic
Formation energy (no corrections): -1.39 eV per atom
Total magnetization: 0.000 μB/cell
Symmetry: C2/m
Uncorrected energy: -0.161 hartree per atom
Calculated volume: 38.68 Å³ per atom

abc: 7.9129 7.9129 8.9566
angles: 98.46 98.46 120.01
Last column: nearest neighbours and their distance in Å.
Sites, in units of the cell vectors:
Er 0.0000 0.0000 0.0000  6 Te 3.11
Sm 0.3336 0.6664 0.0000  6 Te 3.17
Rb 0.5000 0.5000 0.5000  6 Te 3.66-3.71
Te 0.7405 0.7405 0.2016  1 Er 3.11, 2 Sm 3.17
Te 0.2595 0.2595 0.7984  1 Er 3.11, 2 Sm 3.17
Te 0.3938 0.0669 0.2009  1 Er 3.11, 2 Sm 3.17
Te 0.9331 0.6062 0.7991  1 Er 3.11, 2 Sm 3.17
Rb 0.8314 0.1686 0.5000  6 Te 3.66-3.70
Te 0.0669 0.3938 0.2009  1 Er 3.11, 2 Sm 3.17
Sm 0.6664 0.3336 0.0000  6 Te 3.17
Rb 0.1686 0.8314 0.5000  6 Te 3.66-3.70
Te 0.6062 0.9331 0.7991  1 Er 3.11, 2 Sm 3.17

---

[4]
## Rb2SmErTe4 (PBE)

Data for Rb2SmErTe4 after structural relaxation.

Summary:
Crystal system: monoclinic
Formation energy (no corrections): -1.38 eV per atom
Total magnetization: 0.000 μB/cell
Symmetry: P2/m
Uncorrected energy: -0.160 hartree per atom
Calculated volume: 38.37 Å³ per atom

abc: 4.5508 7.8829 8.9515
angles: 107.06 90.00 90.00
Last column: nearest neighbours and their distance in Å.
Sites, in units of the cell vectors:
Te 0.0000 0.2602 0.7984  1 Er 3.10, 2 Sm 3.16
Te 0.5000 0.2271 0.1988  2 Er 3.11, 1 Sm 3.17
Te 0.5000 0.7729 0.8012  2 Er 3.11, 1 Sm 3.17
Rb 0.5000 0.0000 0.5000  6 Te 3.65
Rb 0.0000 0.5000 0.5000  6 Te 3.70
Te 0.0000 0.7398 0.2016  1 Er 3.10, 2 Sm 3.16
Er 0.0000 0.0000 0.0000  6 Te 3.10-3.11
Sm 0.5000 0.5000 0.0000  6 Te 3.16-3.17

---

[5]
## RbErSn2 (PBE)

Data for RbErSn2 after structural relaxation.

Summary:
D(E_F): 1.564 states/eV/cell
Crystal system: tetragonal
Total magnetization: 0.000 μB/cell
Symmetry: P4/mmm
Energy of formation: -0.40 eV per atom
Uncorrected energy: -0.139 hartree per atom
Calculated volume: 33.86 Å³ per atom

abc: 4.0658 4.0658 8.1924
angles: 90.00 90.00 90.00
Last column: nearest neighbours and their distance in Å.
Sites, in units of the cell vectors:
Rb 0.5000 0.5000 0.5000  8 Sn 3.90, 4 Rb 4.07, 2 Er 4.10
Sn 0.0000 0.0000 0.8211  1 Sn 2.93, 4 Er 3.23
Er 0.5000 0.5000 0.0000  8 Sn 3.23
Sn 0.0000 0.0000 0.1789  1 Sn 2.93, 4 Er 3.23

---

[6]
## Rb3Er2SnTe6 (PBE)

Data for Rb3Er2SnTe6 after structural relaxation.

Summary:
D(E_F): 3.964 states/eV/cell
Crystal system: monoclinic
Formation energy (no corrections): -1.08 eV per atom
Total magnetization: 0.000 μB/cell
Symmetry: C2/m
Uncorrected energy: -0.147 hartree per atom
Calculated volume: 37.87 Å³ per atom

abc: 7.8390 7.8390 8.9296
angles: 98.41 98.41 120.01
Last column: nearest neighbours and their distance in Å.
Sites, in units of the cell vectors:
Te 0.0655 0.4017 0.1963  2 Er 3.09, 1 Sn 3.12
Sn 0.0000 0.0000 0.0000  6 Te 3.12
Er 0.3332 0.6668 0.0000  6 Te 3.09-3.10
Te 0.7291 0.7291 0.1962  2 Er 3.10, 1 Sn 3.12
Er 0.6668 0.3332 0.0000  6 Te 3.09-3.10
Te 0.2709 0.2709 0.8038  2 Er 3.10, 1 Sn 3.12
Te 0.5983 0.9345 0.8037  2 Er 3.09, 1 Sn 3.12
Rb 0.1658 0.8342 0.5000  6 Te 3.67-3.69
Rb 0.5000 0.5000 0.5000  6 Te 3.67-3.69
Te 0.9345 0.5983 0.8037  2 Er 3.09, 1 Sn 3.12
Rb 0.8342 0.1658 0.5000  6 Te 3.67-3.69
Te 0.4017 0.0655 0.1963  2 Er 3.09, 1 Sn 3.12

---

[7]
## Rb4Er3SnTe8 (PBE)

Data for Rb4Er3SnTe8 after structural relaxation.

Summary:
D(E_F): 2.030 states/eV/cell
Crystal system: trigonal
Formation energy (no corrections): -1.16 eV per atom
Total magnetization: 0.000 μB/cell
Symmetry: R-3m
Uncorrected energy: -0.150 hartree per atom
Calculated volume: 37.76 Å³ per atom

abc: 9.0389 10.0072 9.0395
angles: 116.86 120.00 90.00
Last column: nearest neighbours and their distance in Å.
Sites, in units of the cell vectors:
Te 0.7669 0.3044 0.5338  2 Er 3.09, 1 Sn 3.11
Rb 0.5000 0.0000 0.5000  6 Te 3.67-3.69
Rb 0.0000 0.0000 0.5000  6 Te 3.67-3.69
Er 0.0000 0.5000 0.5000  6 Te 3.09-3.11
Te 0.7328 0.6983 0.4656  3 Er 3.11
Te 0.7294 0.6956 0.9625  2 Er 3.09, 1 Sn 3.11
Er 0.5000 0.5000 0.0000  6 Te 3.09-3.11
Er 0.5000 0.5000 0.5000  6 Te 3.09-3.11
Te 0.2672 0.3017 0.5344  3 Er 3.11
Rb 0.5000 0.0000 0.0000  6 Te 3.67
Sn 0.0000 0.5000 0.0000  6 Te 3.11
Te 0.2331 0.6956 0.4662  2 Er 3.09, 1 Sn 3.11
Te 0.2706 0.3044 0.0375  2 Er 3.09, 1 Sn 3.11
Te 0.7669 0.3044 0.0375  2 Er 3.09, 1 Sn 3.11
Rb 0.0000 0.0000 0.0000  6 Te 3.67-3.69
Te 0.2331 0.6956 0.9625  2 Er 3.09, 1 Sn 3.11

---

[8]
## RbTb2Er (PBE)

Data for RbTb2Er after structural relaxation.

Summary:
D(E_F): 3.946 states/eV/cell
Crystal system: trigonal
Total magnetization: 0.001 μB/cell
Symmetry: R-3m
Energy of formation: 0.29 eV per atom
Uncorrected energy: -0.125 hartree per atom
Calculated volume: 37.36 Å³ per atom

abc: 3.6104 3.6104 13.4005
angles: 82.26 82.26 60.00
Last column: nearest neighbours and their distance in Å.
Sites, in units of the cell vectors:
Rb 0.0000 0.0000 0.0000  6 Rb 3.61, 2 Tb 3.83
Tb 0.9035 0.9035 0.2895  3 Er 3.48, 6 Tb 3.61, 1 Rb 3.83
Tb 0.0965 0.0965 0.7105  3 Er 3.48, 6 Tb 3.61, 1 Rb 3.83
Er 0.5000 0.5000 0.5000  6 Tb 3.48, 6 Er 3.61

---

[9]
## Rb3Tb2ErTe6 (PBE)

Data for Rb3Tb2ErTe6 after structural relaxation.

Summary:
Crystal system: monoclinic
Formation energy (no corrections): -1.38 eV per atom
Total magnetization: 0.000 μB/cell
Symmetry: C2/m
Uncorrected energy: -0.160 hartree per atom
Calculated volume: 37.94 Å³ per atom

abc: 7.8393 7.8393 8.9451
angles: 98.41 98.41 119.99
Last column: nearest neighbours and their distance in Å.
Sites, in units of the cell vectors:
Te 0.3969 0.0663 0.1991  1 Er 3.10, 2 Tb 3.13
Rb 0.1675 0.8325 0.5000  6 Te 3.66-3.68
Er 0.0000 0.0000 0.0000  6 Te 3.10
Rb 0.8325 0.1675 0.5000  6 Te 3.66-3.68
Rb 0.5000 0.5000 0.5000  6 Te 3.66-3.68
Te 0.9337 0.6031 0.8009  1 Er 3.10, 2 Tb 3.13
Te 0.7360 0.7360 0.1994  1 Er 3.10, 2 Tb 3.13
Tb 0.6666 0.3334 0.0000  6 Te 3.13
Tb 0.3334 0.6666 0.0000  6 Te 3.13
Te 0.2640 0.2640 0.8006  1 Er 3.10, 2 Tb 3.13
Te 0.0663 0.3969 0.1991  1 Er 3.10, 2 Tb 3.13
Te 0.6031 0.9337 0.8009  1 Er 3.10, 2 Tb 3.13

---

[10]
## Rb3TbEr3Te8 (PBE)

Data for Rb3TbEr3Te8 after structural relaxation.

Summary:
D(E_F): 6.614 states/eV/cell
Crystal system: trigonal
Formation energy (no corrections): -1.31 eV per atom
Total magnetization: 0.000 μB/cell
Symmetry: R-3m
Uncorrected energy: -0.162 hartree per atom
Calculated volume: 39.28 Å³ per atom

abc: 8.7743 8.7790 10.1836
angles: 115.55 90.00 120.00
Last column: nearest neighbours and their distance in Å.
Sites, in units of the cell vectors:
Rb 0.5000 0.5000 0.0000  6 Te 3.68-3.69
Tb 0.0000 0.0000 0.5000  6 Te 3.12
Er 0.5000 0.5000 0.5000  6 Te 3.07-3.08
Te 0.7280 0.9638 0.6992  2 Er 3.07, 1 Tb 3.12
Rb 0.0000 0.0000 0.0000  6 Te 3.68-3.69
Te 0.2720 0.0362 0.3008  2 Er 3.07, 1 Tb 3.12
Te 0.2357 0.9637 0.6992  2 Er 3.07, 1 Tb 3.12
Te 0.7643 0.5286 0.3008  2 Er 3.07, 1 Tb 3.12
Rb 0.0000 0.5000 0.0000  6 Te 3.68-3.69
Er 0.5000 0.0000 0.5000  6 Te 3.07-3.08
Te 0.2672 0.5344 0.3017  3 Er 3.08
Er 0.0000 0.5000 0.5000  6 Te 3.07-3.08
Te 0.7328 0.4656 0.6983  3 Er 3.08
Te 0.2357 0.4714 0.6992  2 Er 3.07, 1 Tb 3.12
Te 0.7643 0.0363 0.3008  2 Er 3.07, 1 Tb 3.12

---

[11]
## Rb2TbErTe4 (PBE)

Data for Rb2TbErTe4 after structural relaxation.

Summary:
Crystal system: monoclinic
Formation energy (no corrections): -1.38 eV per atom
Total magnetization: 0.000 μB/cell
Symmetry: P2/m
Uncorrected energy: -0.160 hartree per atom
Calculated volume: 37.81 Å³ per atom

abc: 4.5192 7.8259 8.9411
angles: 106.96 90.00 90.00
Last column: nearest neighbours and their distance in Å.
Sites, in units of the cell vectors:
Tb 0.5000 0.5000 0.0000  6 Te 3.12-3.13
Te 0.5000 0.7699 0.8018  2 Er 3.10, 1 Tb 3.13
Te 0.5000 0.2301 0.1982  2 Er 3.10, 1 Tb 3.13
Rb 0.0000 0.5000 0.5000  6 Te 3.68
Te 0.0000 0.7356 0.1994  1 Er 3.10, 2 Tb 3.12
Te 0.0000 0.2644 0.8006  1 Er 3.10, 2 Tb 3.12
Rb 0.5000 0.0000 0.5000  6 Te 3.66
Er 0.0000 0.0000 0.0000  6 Te 3.10

---

[12]
## RbErTe2 (PBE)

Data for RbErTe2 after structural relaxation.

Summary:
D(E_F): 0.000 states/eV/cell
Crystal system: trigonal
Formation energy (no corrections): -1.36 eV per atom
Total magnetization: 0.000 μB/cell
Symmetry: R3m
Uncorrected energy: -0.158 hartree per atom
Calculated volume: 37.57 Å³ per atom

abc: 4.4802 4.4802 9.0237
angles: 75.63 75.63 60.00
Last column: nearest neighbours and their distance in Å.
Sites, in units of the cell vectors:
Er 0.6672 0.6672 0.9983  6 Te 3.09-3.10
Rb 0.4988 0.4988 0.5037  6 Te 3.65-3.71
Te 0.0660 0.0660 0.8020  3 Er 3.09
Te 0.2680 0.2680 0.1959  3 Er 3.10